Entry from Alexandria: crystalline AcNd7Dy3 at its relaxed geometry (PBE).

Symmetry   P3m1, No. 156

Cell lengths 7.3015, 7.3015, 8.7620 Å; angles 90.00, 90.00, 120.00 degrees
Positions (direct):
Ac1 0.0000 0.0000 0.0000
Nd1 0.0007 0.5004 0.9850
Nd2 0.3333 0.6667 0.3195
Nd3 0.3348 0.1674 0.3366
Nd4 0.4996 0.5004 0.9850
Nd5 0.4996 0.9993 0.9850
Nd6 0.8326 0.1674 0.3366
Nd7 0.8326 0.6652 0.3366
Dy1 0.1683 0.3365 0.6565
Dy2 0.1683 0.8317 0.6565
Dy3 0.6635 0.8317 0.6565



Entry from Alexandria: crystalline Ac5NdDy2 at its relaxed geometry (PBE).

Symmetry   Pbam, No. 55

Cell lengths 7.6497, 15.2967, 5.4605 Å; angles 90.00, 90.00, 90.00 degrees
Positions (direct):
Ac1 0.0000 0.0000 0.0000
Ac2 0.0083 0.2527 0.0000
Ac3 0.2425 0.6221 0.5000
Ac4 0.2575 0.1221 0.5000
Ac5 0.4917 0.7527 0.0000
Ac6 0.5000 0.5000 0.0000
Ac7 0.5083 0.2473 0.0000
Ac8 0.7425 0.8779 0.5000
Ac9 0.7575 0.3779 0.5000
Ac10 0.9917 0.7473 0.0000
Nd1 0.0000 0.5000 0.0000
Nd2 0.5000 0.0000 0.0000
Dy1 0.2453 0.8757 0.5000
Dy2 0.2547 0.3757 0.5000
Dy3 0.7453 0.6243 0.5000
Dy4 0.7547 0.1243 0.5000



Entry from Alexandria: crystalline AcNd6Dy5 at its relaxed geometry (PBE).

Symmetry   Cmmm, No. 65

Cell lengths 8.1722, 8.1722, 10.3175 Å; angles 90.00, 90.00, 143.23 degrees
Positions (direct):
Ac1 0.0000 0.0000 0.0000
Nd1 0.1677 0.8323 0.2541
Nd2 0.1677 0.8323 0.7459
Nd3 0.5000 0.5000 0.2576
Nd4 0.5000 0.5000 0.7424
Nd5 0.8323 0.1677 0.2541
Nd6 0.8323 0.1677 0.7459
Dy1 0.0000 0.0000 0.5000
Dy2 0.3292 0.6708 0.0000
Dy3 0.3329 0.6671 0.5000
Dy4 0.6671 0.3329 0.5000
Dy5 0.6708 0.3292 0.0000



Number 1: formation enthalpy at 0 K 2.172 eV per formula unit. Number 2: formation enthalpy at 0 K 0.309 eV per formula unit. Number 3: formation enthalpy at 0 K 0.322 eV per formula unit.